Material: ThHSe
Method: DFT, PBE
State: optimized geometry

a = 5.337 Å, b = 5.337 Å, c = 5.337 Å
α = 141.26°, β = 141.26°, γ = 55.95°
Fractional positions:
Th (0.000, 0.000, 0.000)
H (0.590, 0.590, 0.000)
Se (0.317, 0.317, 0.000)

Computed properties:
Space group   I4mm, No. 107
Size of the total moment   0.2 μB/f.u.
Uncorrected energy   -5.618 eV/atom
Calculated volume   19.693 Å³ per atom